# 1
Computed, not measured: a geometry-optimized LaCeIrPd structure at the GGA-PBE level of DFT.

Computed properties:
The crystal system is orthorhombic. The value obtained for the formation energy from the elements is -0.78 eV/atom. The value obtained for the energy above the most stable polymorph in this dataset is 0 meV per atom.

The structure in CIF format:
```
data_LaCeIrPd
_symmetry_space_group_name_H-M 'A m m 2'
_symmetry_Int_Tables_number 38
_symmetry_space_group_name_Hall 'A 2 -2'
_cell_length_a 4.175
_cell_length_b 3.933
_cell_length_c 11.671
_cell_angle_alpha 90.00
_cell_angle_beta 90.00
_cell_angle_gamma 90.00
loop_
_atom_site_label
_atom_site_fract_x
_atom_site_fract_y
_atom_site_fract_z
_atom_site_occupancy
La1 0.000 0.000 0.000 1
Ce1 0.500 0.000 0.274 1
Ir1 0.000 0.000 0.744 1
Pd1 0.500 0.000 0.560 1
```



# 2
Computed, not measured: a geometry-optimized Pa3Zn5Rh2 structure at the GGA-PBE level of DFT.

Computed properties:
The crystal system is orthorhombic. The value obtained for the formation energy from the elements is -0.24 eV/atom.

The structure in CIF format:
```
data_Pa3Zn5Rh2
_symmetry_space_group_name_H-M 'I b a m'
_symmetry_Int_Tables_number 72
_symmetry_space_group_name_Hall '-I 2 2c'
_cell_length_a 11.540
_cell_length_b 11.583
_cell_length_c 5.738
_cell_angle_alpha 90.00
_cell_angle_beta 90.00
_cell_angle_gamma 90.00
loop_
_atom_site_label
_atom_site_fract_x
_atom_site_fract_y
_atom_site_fract_z
_atom_site_occupancy
Pa1 0.000 0.000 0.250 1
Pa2 0.136 0.251 0.000 1
Zn1 0.000 0.500 0.250 1
Zn2 0.108 0.363 0.500 1
Zn3 0.235 0.500 0.250 1
Rh1 0.148 0.153 0.500 1
```